VASP calculation (PBE) on an optimized crystal structure of LaTeSe.

total moment = 0.000 μB/atom
density = 6.55 g/cm3
formation energy from raw total energies = -1.33 eV/atom
distance to the lowest polymorph of the same formula = 0.248 eV/atom
DOS at the Fermi energy = 0.9968 states/eV/atom
V = 175.0 Å³/cell

abc: 4.093 4.093 10.448
angles: 90.00 90.00 90.00
Space group I4mm (No. 107)
Symmetry-distinct sites (fractional):
La (0.000, 0.000, 0.000) [2 per cell]
Te (0.000, 0.000, 0.665) [2 per cell]
Se (0.000, 0.000, 0.380) [2 per cell]